ScInIr: optimized geometry, PBE.

Cell: 5.1898 5.1898 5.1898 Å, 144.21 136.67 57.41°
Fractional positions:
Sc: 0.0000 0.0000 0.0000
In: 0.3138 0.3138 0.0000
Ir: 0.6450 0.6450 0.0000

Results
ρ ... 10.51 g/cm³
Size of the total moment ... 0.00 μB/cell
Formation energy ... -558 meV/atom
Uncorrected energy ... -6.54 eV/atom